# TlSiCl | Alexandria via LeMat-Bulk | SCAN | PBEsol geometry
data_TlSiCl
_chemical_formula_sum 'Tl4 Si4 Cl4'
_symmetry_space_group_name_H-M 'F -4 3 m'
_symmetry_Int_Tables_number 216
_symmetry_space_group_name_Hall 'F -4 2 3'
_cell_length_a 6.6977
_cell_length_b 6.6977
_cell_length_c 6.6977
_cell_angle_alpha 90.00
_cell_angle_beta 90.00
_cell_angle_gamma 90.00
loop_
_atom_site_label
_atom_site_type_symbol
_atom_site_fract_x
_atom_site_fract_y
_atom_site_fract_z
Tl1 Tl 0.0000 0.0000 0.0000
Si1 Si 0.2500 0.2500 0.7500
Cl1 Cl 0.0000 0.0000 0.5000
# Spin magnetization in μB/f.u.: 0.00
# ΔE_f (raw) in kJ/mol of atoms: 41.4

# SiWCl2 | Alexandria via LeMat-Bulk | SCAN | PBEsol geometry
data_SiWCl2
_chemical_formula_sum 'Si2 W2 Cl4'
_symmetry_space_group_name_H-M 'C m m 2'
_symmetry_Int_Tables_number 35
_symmetry_space_group_name_Hall 'C 2 -2'
_cell_length_a 2.8966
_cell_length_b 5.6563
_cell_length_c 9.0239
_cell_angle_alpha 90.00
_cell_angle_beta 90.00
_cell_angle_gamma 90.00
loop_
_atom_site_label
_atom_site_type_symbol
_atom_site_fract_x
_atom_site_fract_y
_atom_site_fract_z
Si1 Si 0.0000 0.0000 0.0000
W1 W 0.0000 0.5000 0.2249
Cl1 Cl 0.0000 0.0000 0.4359
Cl2 Cl 0.0000 0.5000 0.7950
# Spin magnetization in μB/f.u.: 0.00
# Distance to the lowest polymorph of the same formula in meV/atom: 0
# ΔE_f (raw) in kJ/mol of atoms: 22.7

# SiW2Cl | Alexandria via LeMat-Bulk | SCAN | PBEsol geometry
data_SiW2Cl
_chemical_formula_sum 'Si1 W2 Cl1'
_symmetry_space_group_name_H-M 'P 1 2/m 1'
_symmetry_Int_Tables_number 10
_symmetry_space_group_name_Hall '-P 2y'
_cell_length_a 3.2080
_cell_length_b 4.1139
_cell_length_c 5.4105
_cell_angle_alpha 90.00
_cell_angle_beta 93.40
_cell_angle_gamma 90.00
loop_
_atom_site_label
_atom_site_type_symbol
_atom_site_fract_x
_atom_site_fract_y
_atom_site_fract_z
Si1 Si 0.0000 0.0000 0.0000
W1 W 0.2985 0.5000 0.1792
Cl1 Cl 0.5000 0.0000 0.5000
# Spin magnetization in μB/f.u.: 0.00
# Distance to the lowest polymorph of the same formula in meV/atom: 216
# ΔE_f (raw) in kJ/mol of atoms: 68.3

# SiWCl2 | Alexandria via LeMat-Bulk | SCAN | PBEsol geometry
data_SiWCl2
_chemical_formula_sum 'Si2 W2 Cl4'
_symmetry_space_group_name_H-M 'I -4 m 2'
_symmetry_Int_Tables_number 119
_symmetry_space_group_name_Hall 'I -4 -2'
_cell_length_a 4.1204
_cell_length_b 4.1204
_cell_length_c 7.3631
_cell_angle_alpha 90.00
_cell_angle_beta 90.00
_cell_angle_gamma 90.00
loop_
_atom_site_label
_atom_site_type_symbol
_atom_site_fract_x
_atom_site_fract_y
_atom_site_fract_z
Si1 Si 0.0000 0.0000 0.0000
W1 W 0.0000 0.5000 0.2500
Cl1 Cl 0.0000 0.0000 0.5000
Cl2 Cl 0.0000 0.5000 0.7500
# Spin magnetization in μB/f.u.: 0.00
# Distance to the lowest polymorph of the same formula in meV/atom: 834
# ΔE_f (raw) in kJ/mol of atoms: 103.2

# SiW2Cl | Alexandria via LeMat-Bulk | SCAN | PBEsol geometry
data_SiW2Cl
_chemical_formula_sum 'Si1 W2 Cl1'
_symmetry_space_group_name_H-M 'P 4/m m m'
_symmetry_Int_Tables_number 123
_symmetry_space_group_name_Hall '-P 4 2'
_cell_length_a 3.1443
_cell_length_b 3.1443
_cell_length_c 6.5842
_cell_angle_alpha 90.00
_cell_angle_beta 90.00
_cell_angle_gamma 90.00
loop_
_atom_site_label
_atom_site_type_symbol
_atom_site_fract_x
_atom_site_fract_y
_atom_site_fract_z
Si1 Si 0.0000 0.0000 0.0000
W1 W 0.5000 0.5000 0.1852
Cl1 Cl 0.0000 0.0000 0.5000
# Spin magnetization in μB/f.u.: 0.00
# Distance to the lowest polymorph of the same formula in meV/atom: 0
# ΔE_f (raw) in kJ/mol of atoms: 47.5

# YSiCl3 | Alexandria via LeMat-Bulk | SCAN | PBEsol geometry
data_YSiCl3
_chemical_formula_sum 'Y1 Si1 Cl3'
_symmetry_space_group_name_H-M 'P m -3 m'
_symmetry_Int_Tables_number 221
_symmetry_space_group_name_Hall '-P 4 2 3'
_cell_length_a 5.2195
_cell_length_b 5.2195
_cell_length_c 5.2195
_cell_angle_alpha 90.00
_cell_angle_beta 90.00
_cell_angle_gamma 90.00
loop_
_atom_site_label
_atom_site_type_symbol
_atom_site_fract_x
_atom_site_fract_y
_atom_site_fract_z
Y1 Y 0.0000 0.0000 0.0000
Si1 Si 0.5000 0.5000 0.5000
Cl1 Cl 0.0000 0.0000 0.5000
# Spin magnetization in μB/f.u.: 2.00
# ΔE_f (raw) in kJ/mol of atoms: -102.7

# YSiCl | Alexandria via LeMat-Bulk | SCAN | PBEsol geometry
data_YSiCl
_chemical_formula_sum 'Y4 Si4 Cl4'
_symmetry_space_group_name_H-M 'F -4 3 m'
_symmetry_Int_Tables_number 216
_symmetry_space_group_name_Hall 'F -4 2 3'
_cell_length_a 6.6699
_cell_length_b 6.6699
_cell_length_c 6.6699
_cell_angle_alpha 90.00
_cell_angle_beta 90.00
_cell_angle_gamma 90.00
loop_
_atom_site_label
_atom_site_type_symbol
_atom_site_fract_x
_atom_site_fract_y
_atom_site_fract_z
Y1 Y 0.0000 0.0000 0.0000
Si1 Si 0.2500 0.2500 0.7500
Cl1 Cl 0.2500 0.2500 0.2500
# Spin magnetization in μB/f.u.: 0.00
# ΔE_f (raw) in kJ/mol of atoms: -33.0

# YSiCl | Alexandria via LeMat-Bulk | SCAN | PBEsol geometry
data_YSiCl
_chemical_formula_sum 'Y2 Si2 Cl2'
_symmetry_space_group_name_H-M 'I 4 m m'
_symmetry_Int_Tables_number 107
_symmetry_space_group_name_Hall 'I 4 -2'
_cell_length_a 3.4707
_cell_length_b 3.4707
_cell_length_c 10.3564
_cell_angle_alpha 90.00
_cell_angle_beta 90.00
_cell_angle_gamma 90.00
loop_
_atom_site_label
_atom_site_type_symbol
_atom_site_fract_x
_atom_site_fract_y
_atom_site_fract_z
Y1 Y 0.0000 0.0000 0.0000
Si1 Si 0.0000 0.0000 0.3107
Cl1 Cl 0.0000 0.0000 0.6123
# Spin magnetization in μB/f.u.: 0.00
# ΔE_f (raw) in kJ/mol of atoms: -66.4

# ZnSi3Cl | Alexandria via LeMat-Bulk | SCAN | PBEsol geometry
data_ZnSi3Cl
_chemical_formula_sum 'Zn1 Si3 Cl1'
_symmetry_space_group_name_H-M 'P m -3 m'
_symmetry_Int_Tables_number 221
_symmetry_space_group_name_Hall '-P 4 2 3'
_cell_length_a 4.7059
_cell_length_b 4.7059
_cell_length_c 4.7059
_cell_angle_alpha 90.00
_cell_angle_beta 90.00
_cell_angle_gamma 90.00
loop_
_atom_site_label
_atom_site_type_symbol
_atom_site_fract_x
_atom_site_fract_y
_atom_site_fract_z
Zn1 Zn 0.0000 0.0000 0.0000
Si1 Si 0.0000 0.0000 0.5000
Cl1 Cl 0.5000 0.5000 0.5000
# Spin magnetization in μB/f.u.: 1.33
# ΔE_f (raw) in kJ/mol of atoms: 100.6

# Zn2SiCl | Alexandria via LeMat-Bulk | SCAN | PBEsol geometry
data_Zn2SiCl
_chemical_formula_sum 'Zn4 Si2 Cl2'
_symmetry_space_group_name_H-M 'C m m m'
_symmetry_Int_Tables_number 65
_symmetry_space_group_name_Hall '-C 2 2'
_cell_length_a 3.7348
_cell_length_b 5.1612
_cell_length_c 7.1057
_cell_angle_alpha 90.00
_cell_angle_beta 90.00
_cell_angle_gamma 90.00
loop_
_atom_site_label
_atom_site_type_symbol
_atom_site_fract_x
_atom_site_fract_y
_atom_site_fract_z
Zn1 Zn 0.0000 0.0000 0.2285
Si1 Si 0.0000 0.5000 0.0000
Cl1 Cl 0.0000 0.5000 0.5000
# Spin magnetization in μB/f.u.: 0.00
# ΔE_f (raw) in kJ/mol of atoms: 8.7

# ZnSiCl | Alexandria via LeMat-Bulk | SCAN | PBEsol geometry
data_ZnSiCl
_chemical_formula_sum 'Zn4 Si4 Cl4'
_symmetry_space_group_name_H-M 'F -4 3 m'
_symmetry_Int_Tables_number 216
_symmetry_space_group_name_Hall 'F -4 2 3'
_cell_length_a 6.3055
_cell_length_b 6.3055
_cell_length_c 6.3055
_cell_angle_alpha 90.00
_cell_angle_beta 90.00
_cell_angle_gamma 90.00
loop_
_atom_site_label
_atom_site_type_symbol
_atom_site_fract_x
_atom_site_fract_y
_atom_site_fract_z
Zn1 Zn 0.0000 0.0000 0.0000
Si1 Si 0.2500 0.2500 0.7500
Cl1 Cl 0.2500 0.2500 0.2500
# Spin magnetization in μB/f.u.: 0.97
# ΔE_f (raw) in kJ/mol of atoms: 66.6

# ZnSi4Cl | Alexandria via LeMat-Bulk | SCAN | PBEsol geometry
data_ZnSi4Cl
_chemical_formula_sum 'Zn4 Si16 Cl4'
_symmetry_space_group_name_H-M 'F -4 3 m'
_symmetry_Int_Tables_number 216
_symmetry_space_group_name_Hall 'F -4 2 3'
_cell_length_a 7.3081
_cell_length_b 7.3081
_cell_length_c 7.3081
_cell_angle_alpha 90.00
_cell_angle_beta 90.00
_cell_angle_gamma 90.00
loop_
_atom_site_label
_atom_site_type_symbol
_atom_site_fract_x
_atom_site_fract_y
_atom_site_fract_z
Zn1 Zn 0.0000 0.0000 0.0000
Si1 Si 0.1241 0.1241 0.6241
Cl1 Cl 0.2500 0.2500 0.2500
# Spin magnetization in μB/f.u.: 0.00
# ΔE_f (raw) in kJ/mol of atoms: 61.8

# Zr3SiCl | Alexandria via LeMat-Bulk | SCAN | PBEsol geometry
data_Zr3SiCl
_chemical_formula_sum 'Zr3 Si1 Cl1'
_symmetry_space_group_name_H-M 'P m -3 m'
_symmetry_Int_Tables_number 221
_symmetry_space_group_name_Hall '-P 4 2 3'
_cell_length_a 4.6555
_cell_length_b 4.6555
_cell_length_c 4.6555
_cell_angle_alpha 90.00
_cell_angle_beta 90.00
_cell_angle_gamma 90.00
loop_
_atom_site_label
_atom_site_type_symbol
_atom_site_fract_x
_atom_site_fract_y
_atom_site_fract_z
Zr1 Zr 0.0000 0.0000 0.5000
Si1 Si 0.5000 0.5000 0.5000
Cl1 Cl 0.0000 0.0000 0.0000
# Spin magnetization in μB/f.u.: 0.00
# ΔE_f (raw) in kJ/mol of atoms: 2.9

# ZrSiCl2 | Alexandria via LeMat-Bulk | SCAN | PBEsol geometry
data_ZrSiCl2
_chemical_formula_sum 'Zr2 Si2 Cl4'
_symmetry_space_group_name_H-M 'I m m 2'
_symmetry_Int_Tables_number 44
_symmetry_space_group_name_Hall 'I 2 -2'
_cell_length_a 3.1261
_cell_length_b 4.6086
_cell_length_c 10.5195
_cell_angle_alpha 90.00
_cell_angle_beta 90.00
_cell_angle_gamma 90.00
loop_
_atom_site_label
_atom_site_type_symbol
_atom_site_fract_x
_atom_site_fract_y
_atom_site_fract_z
Zr1 Zr 0.0000 0.0000 0.0000
Si1 Si 0.0000 0.5000 0.2728
Cl1 Cl 0.0000 0.0000 0.4665
Cl2 Cl 0.0000 0.5000 0.6916
# Spin magnetization in μB/f.u.: 0.00
# Distance to the lowest polymorph of the same formula in meV/atom: 0
# ΔE_f (raw) in kJ/mol of atoms: -47.3